No. 1
16
Lattice="4.4329 2.5593 7.4366 -4.4329 2.5593 7.4366 0.0000 -5.1186 7.4366" Properties=species:S:1:pos:R:3 comment="Ca4PmSm3Te8 (GGA-PBE, optimized geometry)" crystal_system=trigonal formation_energy_uncorrected_ev_per_atom=-1.5009 pbc="T T T"
Ca 0.0000 0.0000 0.0000
Ca -2.2164 -1.2797 7.4366
Ca -2.2164 1.2797 14.8731
Ca 0.0000 2.5593 7.4365
Pm 0.0000 0.0000 11.1548
Sm -4.4329 0.0000 11.1548
Sm -2.2164 1.2797 3.7183
Sm 2.2164 1.2797 3.7183
Te 0.0000 -2.5659 9.2801
Te -2.2221 1.2830 9.2801
Te 0.0000 0.0000 5.5881
Te -2.2222 -1.2830 13.0295
Te 2.2221 1.2830 9.2801
Te 0.0000 0.0000 16.7216
Te 2.2222 -1.2830 13.0295
Te 0.0000 2.5659 13.0295

No. 2
15
Lattice="4.4484 2.5683 7.3959 -4.4484 2.5683 7.3959 0.0000 -5.1366 7.3959" Properties=species:S:1:pos:R:3 comment="Ca3Pm3SmTe8 (GGA-PBE, optimized geometry)" crystal_system=trigonal formation_energy_uncorrected_ev_per_atom=-1.5179 pbc="T T T"
Ca -2.2242 -1.2841 7.3959
Ca -2.2242 1.2841 14.7917
Ca 0.0000 2.5683 7.3959
Pm -4.4484 0.0000 11.0938
Pm -2.2242 1.2841 3.6979
Pm 2.2242 1.2841 3.6979
Sm 0.0000 0.0000 11.0938
Te -2.2363 -1.2911 12.9473
Te 0.0000 -2.5822 9.2402
Te -2.2363 1.2911 9.2402
Te 0.0000 0.0000 5.5636
Te 0.0000 0.0000 16.6240
Te 2.2363 -1.2911 12.9473
Te 0.0000 2.5822 12.9473
Te 2.2363 1.2911 9.2403

No. 3
14
Lattice="4.6368 2.6771 7.5625 -4.6368 2.6771 7.5625 0.0000 -5.3541 7.5625" Properties=species:S:1:pos:R:3 comment="CaPm4SmTe8 (GGA-PBE, optimized geometry)" crystal_system=trigonal formation_energy_uncorrected_ev_per_atom=-1.3496 pbc="T T T"
Ca 0.0000 0.0000 0.0000
Pm -2.3609 -1.3631 10.3775
Pm 0.0000 0.0000 5.6619
Pm 2.3609 -1.3631 10.3775
Pm 0.0000 2.7261 10.3775
Sm 0.0000 0.0000 14.2310
Te 0.0000 0.0000 8.6856
Te 0.0000 -2.4938 12.2334
Te -2.1597 1.2469 12.2334
Te -2.1628 -1.2487 16.1199
Te 2.1597 1.2469 12.2334
Te 2.1628 -1.2487 16.1199
Te 0.0000 2.4974 16.1199
Te 0.0000 0.0000 19.6650

No. 4
8
Lattice="7.7488 0.0000 0.0000 0.0000 4.4316 0.0000 -2.5231 0.0000 7.3366" Properties=species:S:1:pos:R:3 comment="CaPm2SmTe4 (GGA-PBE, optimized geometry)" crystal_system=monoclinic formation_energy_uncorrected_ev_per_atom=-1.4499 pbc="T T T"
Ca 0.0000 0.0000 0.0000
Pm -1.2616 2.2158 3.6683
Pm 2.6128 0.0000 3.6683
Sm 3.8744 2.2158 0.0000
Te 1.2969 2.2158 1.8074
Te 0.0301 0.0000 5.5263
Te 5.1956 0.0000 1.8103
Te 3.9287 2.2158 5.5292

No. 5
12
Lattice="3.8480 -6.6719 0.0000 3.8480 6.6719 0.0000 -2.5763 0.0000 7.3847" Properties=species:S:1:pos:R:3 comment="Ca2Pm3SmTe6 (GGA-PBE, optimized geometry)" crystal_system=monoclinic formation_energy_uncorrected_ev_per_atom=-1.4681 pbc="T T T"
Ca 3.8480 4.4481 0.0000
Ca 3.8480 -4.4481 0.0000
Pm -1.2881 0.0000 3.6924
Pm 2.5598 2.2546 3.6924
Pm 2.5598 -2.2546 3.6924
Sm 3.8480 0.0000 0.0000
Te -0.0139 2.2322 5.5753
Te 1.2710 0.0000 1.8384
Te -0.0139 -2.2322 5.5753
Te 5.1335 2.2322 1.8094
Te 3.8487 0.0000 5.5464
Te 5.1335 -2.2322 1.8094

No. 6
8
Lattice="2.7308 1.5766 8.9966 -2.7308 1.5766 8.9966 0.0000 -3.1533 8.9966" Properties=species:S:1:pos:R:3 comment="CaPmSm2Tl4 (GGA-PBE, optimized geometry)" ef_kj_per_mol_fu=-300 crystal_system=trigonal pbc="T T T"
Ca 0.0000 0.0000 0.0000
Pm 0.0000 0.0000 13.4949
Sm 0.0000 0.0000 6.8400
Sm 0.0000 0.0000 20.1497
Tl 0.0000 0.0000 3.3970
Tl 0.0000 0.0000 10.1487
Tl 0.0000 0.0000 16.8410
Tl 0.0000 0.0000 23.5927

No. 7
16
Lattice="6.3218 -3.6286 0.0000 6.3218 3.6286 0.0000 -4.2559 0.0000 11.8809" Properties=species:S:1:pos:R:3 comment="CaPm2Sm4Tm (GGA-PBE, optimized geometry)" ef_kj_per_mol_fu=35 crystal_system=monoclinic pbc="T T T"
Ca 3.1609 1.8143 0.0000
Ca 3.1609 -1.8143 0.0000
Pm 0.0000 0.0000 0.0000
Pm -2.1280 0.0000 5.9404
Pm 1.0329 1.8143 5.9404
Pm 1.0329 -1.8143 5.9404
Sm 3.0877 1.8115 8.8953
Sm 2.0701 0.0000 3.0555
Sm 0.0014 0.0000 8.8481
Sm 5.2999 1.8115 2.9856
Sm 3.0877 -1.8115 8.8953
Sm 8.3862 0.0000 3.0328
Sm 6.3175 0.0000 8.8254
Sm 5.2999 -1.8115 2.9856
Tm 6.3218 0.0000 0.0000
Tm 4.1938 0.0000 5.9404

No. 8
4
Lattice="0.0000 4.0938 4.0938 4.0938 0.0000 4.0938 4.0938 4.0938 0.0000" Properties=species:S:1:pos:R:3 comment="CaPmSmTm (GGA-PBE, optimized geometry)" ef_kj_per_mol_fu=49 crystal_system=cubic pbc="T T T"
Ca 0.0000 0.0000 0.0000
Pm 2.0469 2.0469 2.0469
Sm 6.1407 6.1407 6.1407
Tm 4.0938 4.0938 4.0938

no.,DOS(E_F) (states/eV per cell),volume (Å³ per atom)
1,6.04,31.64
2,4.86,33.80
3,4.90,40.23
4,3.63,31.49
5,6.13,31.60
6,5.39,29.05
7,21.91,34.07
8,6.22,34.30